[1]
Compound: Pm4Sc3Se8
Source: Alexandria via LeMat-Bulk
Functional: PBE
Structure: relaxed

Cell: 8.851 8.851 8.851 Å, 52.74 52.74 52.74°
Sites, in units of the cell vectors:
Pm 0.000 0.000 0.000
Pm 0.150 0.150 0.150
Pm 0.500 0.500 0.500
Pm 0.850 0.850 0.850
Sc 0.000 0.500 0.500
Sc 0.500 0.000 0.500
Sc 0.500 0.500 0.000
Se 0.249 0.249 0.732
Se 0.249 0.732 0.249
Se 0.268 0.751 0.751
Se 0.273 0.273 0.273
Se 0.727 0.727 0.727
Se 0.732 0.249 0.249
Se 0.751 0.268 0.751
Se 0.751 0.751 0.268

Values from the calculation:
Formation energy from raw total energies in eV/f.u.: -23.38
ρ in g/cm³: 5.50
Density of states at the Fermi level in states/eV/atom: 0.63

---

[2]
Compound: PmScSe3
Source: Alexandria via LeMat-Bulk
Functional: PBE
Structure: relaxed

Cell: 8.428 3.954 14.686 Å, 90.00 90.00 90.00°
Sites, in units of the cell vectors:
Pm 0.143 0.250 0.198
Pm 0.357 0.750 0.698
Pm 0.643 0.250 0.302
Pm 0.857 0.750 0.802
Sc 0.183 0.750 0.459
Sc 0.317 0.250 0.959
Sc 0.683 0.750 0.041
Sc 0.817 0.250 0.541
Se 0.002 0.250 0.387
Se 0.152 0.250 0.799
Se 0.159 0.750 0.046
Se 0.341 0.250 0.546
Se 0.348 0.750 0.299
Se 0.498 0.750 0.887
Se 0.502 0.250 0.113
Se 0.652 0.250 0.701
Se 0.659 0.750 0.454
Se 0.841 0.250 0.954
Se 0.848 0.750 0.201
Se 0.998 0.750 0.613

Values from the calculation:
Formation energy from raw total energies in eV/f.u.: -8.87
ρ in g/cm³: 5.79
Density of states at the Fermi level in states/eV/atom: 0.00
E above lowest polymorph in meV per atom: 0.0

---

[3]
Compound: Pm6ScSe8
Source: Alexandria via LeMat-Bulk
Functional: PBE
Structure: relaxed

Cell: 8.329 8.329 8.329 Å, 60.00 60.00 60.00°
Sites, in units of the cell vectors:
Pm 0.000 0.000 0.500
Pm 0.000 0.500 0.000
Pm 0.000 0.500 0.500
Pm 0.500 0.000 0.000
Pm 0.500 0.000 0.500
Pm 0.500 0.500 0.000
Sc 0.000 0.000 0.000
Se 0.240 0.240 0.760
Se 0.240 0.760 0.240
Se 0.240 0.760 0.760
Se 0.250 0.250 0.250
Se 0.750 0.750 0.750
Se 0.760 0.240 0.240
Se 0.760 0.240 0.760
Se 0.760 0.760 0.240

Values from the calculation:
Formation energy from raw total energies in eV/f.u.: -27.69
ρ in g/cm³: 6.29
Density of states at the Fermi level in states/eV/atom: 0.51

---

What is the density of states at the Fermi level in the first record?
0.63 states/eV/atom

---

formation energy from raw total energies of number 1 (Pm4Sc3Se8)?
-23.38 eV/f.u.